Compound: CsTe2WAuSe
Source: the Open Quantum Materials Database
Functional: PBE-GGA
Structure: optimized geometry

It has space group Cmcm (No. 63), with a = 4.162 Å, b = 17.130 Å, c = 10.491 Å, α = 90.00°, β = 90.00° and γ = 90.00°. The distinct sites, in fractional coordinates, are Cs at (0.000, 0.240, 0.250), Te at (0.000, 0.389, 0.520), W at (0.000, 0.000, 0.000), Au at (0.000, 0.455, 0.750) and Se at (0.000, 0.053, 0.750).

The uncorrected energy is -109.6 eV per cell. The calculation puts the total magnetization at 2.0 μB per formula unit. The calculated volume comes out at 31.2 Å³ per atom.